# 1
Compound: KYRh
Source: the Alexandria database
Functional: GGA-PBEsol
Structure: relaxed

a = 4.6923 Å, b = 4.6923 Å, c = 4.6923 Å
α = 60.00°, β = 60.00°, γ = 60.00°
Positions (direct):
Y (0.5000, 0.5000, 0.5000)
K (0.2500, 0.2500, 0.2500)
Rh (0.0000, 0.0000, 0.0000)

## Properties
* energy relative to the elements: 1.105 eV per atom

# 2
Compound: KY2Rh
Source: the Alexandria database
Functional: GGA-PBEsol
Structure: relaxed

a = 4.0463 Å, b = 4.0478 Å, c = 10.1182 Å
α = 78.64°, β = 78.47°, γ = 60.01°
Positions (direct):
Y (0.2860, 0.2863, 0.1416)
Y (0.0481, 0.0441, 0.8597)
Rh (0.6671, 0.6652, 0.0007)
K (0.4989, 0.5044, 0.4979)

## Properties
* E above lowest polymorph: 0.000 eV/atom
* energy relative to the elements: -0.268 eV per atom

# 3
Compound: KYRh2
Source: the Alexandria database
Functional: GGA-PBEsol
Structure: relaxed

a = 3.2489 Å, b = 3.2489 Å, c = 9.3119 Å
α = 79.95°, β = 79.95°, γ = 60.00°
Positions (direct):
K (0.0000, 0.0000, 0.0000)
Y (0.5000, 0.5000, 0.5000)
Rh (0.7612, 0.7612, 0.7165)
Rh (0.2388, 0.2388, 0.2835)

## Properties
* energy relative to the elements: 0.182 eV per atom

# 4
Compound: KY2Rh
Source: the Alexandria database
Functional: GGA-PBEsol
Structure: relaxed

a = 3.3275 Å, b = 5.8570 Å, c = 5.8570 Å
α = 109.98°, β = 103.35°, γ = 103.35°
Positions (direct):
Y (0.0000, 0.5000, 0.0000)
Y (0.0000, 0.0000, 0.5000)
Rh (0.5000, 0.0000, 0.0000)
K (0.5000, 0.5000, 0.5000)

## Properties
* E above lowest polymorph: 0.736 eV/atom
* energy relative to the elements: 0.468 eV per atom

# 5
Compound: K4ZnRh
Source: the Alexandria database
Functional: GGA-PBEsol
Structure: relaxed

a = 6.4881 Å, b = 6.4881 Å, c = 6.4881 Å
α = 60.00°, β = 60.00°, γ = 60.00°
Positions (direct):
K (0.3758, 0.3758, 0.3758)
K (0.8727, 0.3758, 0.3758)
K (0.3758, 0.8727, 0.3758)
K (0.3758, 0.3758, 0.8727)
Zn (0.0000, 0.0000, 0.0000)
Rh (0.7500, 0.7500, 0.7500)

## Properties
* energy relative to the elements: 0.922 eV per atom

# 6
Compound: KZn3Rh
Source: the Alexandria database
Functional: GGA-PBEsol
Structure: relaxed

a = 5.1561 Å, b = 5.1561 Å, c = 5.1561 Å
α = 90.00°, β = 90.00°, γ = 90.00°
Positions (direct):
Zn (0.0000, 0.0000, 0.5000)
Zn (0.5000, 0.0000, 0.0000)
Zn (0.0000, 0.5000, 0.0000)
Rh (0.5000, 0.5000, 0.5000)
K (0.0000, 0.0000, 0.0000)

## Properties
* energy relative to the elements: 1.835 eV per atom

# 7
Compound: KZnRh2
Source: the Alexandria database
Functional: GGA-PBEsol
Structure: relaxed

a = 2.7252 Å, b = 5.0409 Å, c = 5.8548 Å
α = 115.50°, β = 103.46°, γ = 90.00°
Positions (direct):
Zn (0.4625, 0.4625, 0.9250)
K (0.2533, 0.7533, 0.5065)
Rh (0.7467, 0.2467, 0.4934)
Rh (0.0375, 0.0375, 0.0750)

## Properties
* energy relative to the elements: 0.523 eV per atom

# 8
Compound: K3ZnRh
Source: the Alexandria database
Functional: GGA-PBEsol
Structure: relaxed

a = 5.8449 Å, b = 5.8449 Å, c = 5.8449 Å
α = 90.00°, β = 90.00°, γ = 90.00°
Positions (direct):
Zn (0.5000, 0.5000, 0.5000)
K (0.0000, 0.5000, 0.0000)
K (0.5000, 0.0000, 0.0000)
K (0.0000, 0.0000, 0.5000)
Rh (0.0000, 0.0000, 0.0000)

## Properties
* energy relative to the elements: 0.729 eV per atom

# 9
Compound: KRu
Source: the Alexandria database
Functional: GGA-PBEsol
Structure: relaxed

a = 2.7611 Å, b = 2.7611 Å, c = 5.8728 Å
α = 76.40°, β = 76.40°, γ = 60.00°
Positions (direct):
K (0.0000, 0.0000, 0.0000)
Ru (0.5000, 0.5000, 0.5000)

## Properties
* E above lowest polymorph: 0.529 eV/atom
* energy relative to the elements: 1.326 eV per atom

# 10
Compound: K4Ru
Source: the Alexandria database
Functional: GGA-PBEsol
Structure: relaxed

a = 6.6985 Å, b = 6.6985 Å, c = 6.6985 Å
α = 109.47°, β = 109.47°, γ = 109.47°
Positions (direct):
K (0.0000, 0.5000, 0.0000)
K (0.5000, 0.5000, 0.5000)
K (0.5000, 0.0000, 0.0000)
K (0.0000, 0.0000, 0.5000)
Ru (0.0000, 0.0000, 0.0000)

## Properties
* energy relative to the elements: 0.973 eV per atom

# 11
Compound: KRu
Source: the Alexandria database
Functional: GGA-PBEsol
Structure: relaxed

a = 2.7606 Å, b = 2.7606 Å, c = 5.6477 Å
α = 90.00°, β = 90.00°, γ = 120.00°
Positions (direct):
Ru (0.3333, 0.6667, 0.5000)
K (0.0000, 0.0000, 0.0000)

## Properties
* E above lowest polymorph: 0.526 eV/atom
* energy relative to the elements: 1.323 eV per atom

# 12
Compound: KRu
Source: the Alexandria database
Functional: GGA-PBEsol
Structure: relaxed

a = 3.5727 Å, b = 3.5727 Å, c = 3.5727 Å
α = 90.00°, β = 90.00°, γ = 90.00°
Positions (direct):
Ru (0.5000, 0.5000, 0.5000)
K (0.0000, 0.0000, 0.0000)

## Properties
* E above lowest polymorph: 1.431 eV/atom
* energy relative to the elements: 2.228 eV per atom

# 13
Compound: K3Ru
Source: the Alexandria database
Functional: GGA-PBEsol
Structure: relaxed

a = 3.5521 Å, b = 3.5521 Å, c = 13.3612 Å
α = 90.00°, β = 90.00°, γ = 120.00°
Positions (direct):
K (0.3333, 0.6667, 0.0000)
K (0.0000, 0.0000, 0.3139)
K (0.0000, 0.0000, 0.6861)
Ru (0.3333, 0.6667, 0.5000)

## Properties
* E above lowest polymorph: 0.087 eV/atom
* energy relative to the elements: 1.184 eV per atom

# 14
Compound: K3Ru
Source: the Alexandria database
Functional: GGA-PBEsol
Structure: relaxed

a = 3.4313 Å, b = 3.4313 Å, c = 12.7372 Å
α = 90.00°, β = 90.00°, γ = 90.00°
Positions (direct):
Ru (0.5000, 0.5000, 0.0000)
K (0.5000, 0.5000, 0.5000)
K (0.0000, 0.0000, 0.8245)
K (0.0000, 0.0000, 0.1755)

## Properties
* E above lowest polymorph: 0.000 eV/atom
* energy relative to the elements: 1.097 eV per atom

# 15
Compound: KRu
Source: the Alexandria database
Functional: GGA-PBEsol
Structure: relaxed

a = 2.8292 Å, b = 4.2375 Å, c = 9.8233 Å
α = 91.47°, β = 90.00°, γ = 109.50°
Positions (direct):
Ru (0.6315, 0.2630, 0.9574)
Ru (0.3685, 0.7370, 0.0426)
K (0.1174, 0.2347, 0.2811)
K (0.8826, 0.7653, 0.7189)

## Properties
* E above lowest polymorph: 0.000 eV/atom
* energy relative to the elements: 0.797 eV per atom

# 16
Compound: KRu3S
Source: the Alexandria database
Functional: GGA-PBEsol
Structure: relaxed

a = 4.4009 Å, b = 4.4009 Å, c = 4.4009 Å
α = 90.00°, β = 90.00°, γ = 90.00°
Positions (direct):
Ru (0.5000, 0.0000, 0.0000)
Ru (0.0000, 0.5000, 0.0000)
Ru (0.0000, 0.0000, 0.5000)
K (0.5000, 0.5000, 0.5000)
S (0.0000, 0.0000, 0.0000)

## Properties
* uncorrected formation energy: 0.772 eV per atom

# 17
Compound: K3RuS
Source: the Alexandria database
Functional: GGA-PBEsol
Structure: relaxed

a = 5.2139 Å, b = 5.2139 Å, c = 5.2139 Å
α = 90.00°, β = 90.00°, γ = 90.00°
Positions (direct):
K (0.5000, 0.0000, 0.0000)
K (0.0000, 0.0000, 0.5000)
K (0.0000, 0.5000, 0.0000)
S (0.5000, 0.5000, 0.5000)
Ru (0.0000, 0.0000, 0.0000)

## Properties
* uncorrected formation energy: 0.918 eV per atom

# 18
Compound: KRuS3
Source: the Alexandria database
Functional: GGA-PBEsol
Structure: relaxed

a = 4.6828 Å, b = 4.6828 Å, c = 4.6828 Å
α = 90.00°, β = 90.00°, γ = 90.00°
Positions (direct):
Ru (0.0000, 0.0000, 0.0000)
S (0.0000, 0.5000, 0.0000)
S (0.5000, 0.0000, 0.0000)
S (0.0000, 0.0000, 0.5000)
K (0.5000, 0.5000, 0.5000)

## Properties
* uncorrected formation energy: -0.168 eV per atom

# 19
Compound: KScRu2
Source: the Alexandria database
Functional: GGA-PBEsol
Structure: relaxed

a = 2.9137 Å, b = 3.6997 Å, c = 8.5392 Å
α = 90.00°, β = 90.39°, γ = 90.00°
Positions (direct):
Sc (0.0050, 0.0000, 0.3890)
Ru (0.0010, 0.0000, 0.0998)
Ru (0.5034, 0.5000, 0.2107)
K (0.4906, 0.5000, 0.8005)

## Properties
* E above lowest polymorph: 0.000 eV/atom
* energy relative to the elements: 0.389 eV per atom

# 20
Compound: KSc2Ru
Source: the Alexandria database
Functional: GGA-PBEsol
Structure: relaxed

a = 3.2212 Å, b = 4.1724 Å, c = 8.8862 Å
α = 103.58°, β = 100.44°, γ = 90.00°
Positions (direct):
K (0.5804, 0.5804, 0.1608)
Ru (0.2752, 0.7752, 0.5505)
Sc (0.7537, 0.2537, 0.5074)
Sc (0.8907, 0.8907, 0.7814)

## Properties
* energy relative to the elements: 0.192 eV per atom

Calculated values (Ry/atom) of E for the records, taken in order: -0.31306; -0.44078; -0.43187; -0.38667; -0.10687; -0.07116; -0.31050; -0.13926; -0.31799; -0.14466; -0.31826; -0.25176; -0.16238; -0.16874; -0.35690; -0.47297; -0.19651; -0.37190; -0.48745; -0.43636.
Calculated values (μB per formula unit) of size of the total moment for the records, taken in order: 0.0; 0.0; 0.0; 0.0; 0.0; 1.1; 0.0; 0.1; 0.2; 1.5; 0.2; 1.9; 1.8; 1.8; 0.0; 0.5; 0.0; 1.7; 0.0; 0.0.